# PBE+U Na3CoF, optimized geometry
# offset from the most stable computed form = 847 meV/atom
data_Na3CoF
_symmetry_space_group_name_H-M 'P m -3 m'
_symmetry_Int_Tables_number 221
_symmetry_space_group_name_Hall '-P 4 2 3'
_cell_length_a 5.502
_cell_length_b 5.502
_cell_length_c 5.502
_cell_angle_alpha 90.00
_cell_angle_beta 90.00
_cell_angle_gamma 90.00
loop_
_atom_site_label
_atom_site_type_symbol
_atom_site_fract_x
_atom_site_fract_y
_atom_site_fract_z
Na1 Na 0.000 0.000 0.500
Co1 Co 0.000 0.000 0.000
F1 F 0.500 0.500 0.500

# PBE+U Na3CoF8, optimized geometry
# offset from the most stable computed form = 0 meV/atom
data_Na3CoF8
_symmetry_space_group_name_H-M 'C 2 2 2'
_symmetry_Int_Tables_number 21
_symmetry_space_group_name_Hall 'C 2 2'
_cell_length_a 5.417
_cell_length_b 10.224
_cell_length_c 6.799
_cell_angle_alpha 90.00
_cell_angle_beta 90.00
_cell_angle_gamma 90.00
loop_
_atom_site_label
_atom_site_type_symbol
_atom_site_fract_x
_atom_site_fract_y
_atom_site_fract_z
Na1 Na 0.000 0.000 0.000
Na2 Na 0.250 0.250 0.739
Co1 Co 0.000 0.000 0.500
F1 F 0.000 0.178 0.500
F2 F 0.000 0.224 0.000
F3 F 0.230 0.005 0.690

Among the records above, which one has the highest offset from the most stable computed form? Na3CoF